No. 1
LiNdThRe: optimized geometry, PBE-GGA.

Calculated values
Formation energy from the elements = 99 meV per atom
N(E_F) = 3.3 states/eV/f.u.
Total energy = -6.54 eV/atom

Cell lengths 5.086, 5.086, 5.086 Å; angles 60.00, 60.00, 60.00 degrees
Atoms (fractional coordinates):
Li 0.000 0.000 0.000
Nd 0.250 0.250 0.250
Th 0.750 0.750 0.750
Re 0.500 0.500 0.500

=====

No. 2
LiNdZrRe: optimized geometry, PBE-GGA.

Calculated values
Formation energy from the elements = 82 meV per atom
N(E_F) = 2.1 states/eV/f.u.
Total energy = -6.84 eV/atom

Cell lengths 4.869, 4.869, 4.869 Å; angles 60.00, 60.00, 60.00 degrees
Atoms (fractional coordinates):
Li 0.000 0.000 0.000
Nd 0.250 0.250 0.250
Zr 0.750 0.750 0.750
Re 0.500 0.500 0.500

=====

No. 3
LiNd12Rh6: optimized geometry, PBE-GGA.

Calculated values
Formation energy from the elements = -343 meV per atom
N(E_F) = 16.0 states/eV/f.u.
Total energy = -5.78 eV/atom

Cell lengths 8.490, 8.490, 8.490 Å; angles 101.62, 101.62, 101.62 degrees
Atoms (fractional coordinates):
Li 0.000 0.000 0.000
Nd 0.064 0.919 0.669
Nd 0.081 0.331 0.936
Nd 0.175 0.567 0.413
Nd 0.331 0.936 0.081
Nd 0.413 0.175 0.567
Nd 0.433 0.587 0.825
Nd 0.567 0.413 0.175
Nd 0.587 0.825 0.433
Nd 0.669 0.064 0.919
Nd 0.825 0.433 0.587
Nd 0.919 0.669 0.064
Nd 0.936 0.081 0.331
Rh 0.136 0.310 0.615
Rh 0.310 0.615 0.136
Rh 0.385 0.864 0.690
Rh 0.615 0.136 0.310
Rh 0.690 0.385 0.864
Rh 0.864 0.690 0.385

=====

No. 4
LiNd6Rh5: optimized geometry, PBE-GGA.

Calculated values
Formation energy from the elements = -556 meV per atom
N(E_F) = 6.5 states/eV/f.u.
Total energy = -6.16 eV/atom

Cell lengths 8.749, 8.749, 4.996 Å; angles 106.57, 106.57, 119.98 degrees
Atoms (fractional coordinates):
Li 0.000 0.000 0.000
Nd 0.085 0.427 0.255
Nd 0.261 0.261 0.761
Nd 0.427 0.085 0.255
Nd 0.573 0.915 0.745
Nd 0.739 0.739 0.239
Nd 0.915 0.573 0.745
Rh 0.158 0.842 0.500
Rh 0.331 0.669 0.000
Rh 0.500 0.500 0.500
Rh 0.669 0.331 0.000
Rh 0.842 0.158 0.500